[1]
PrTmTlPt (PBE-GGA, optimized geometry); calculated formation energy = -2.51 eV per formula unit
1.0
0.000 3.696 3.696
3.696 0.000 3.696
3.696 3.696 0.000
Pr Tm Tl Pt
1 1 1 1
direct
0.000 0.000 0.000 Pr
0.500 0.500 0.500 Tm
0.750 0.750 0.750 Tl
0.250 0.250 0.250 Pt

***

[2]
PrYTlPt (PBE-GGA, optimized geometry); calculated formation energy = -2.53 eV per formula unit
1.0
0.000 3.721 3.721
3.721 0.000 3.721
3.721 3.721 0.000
Pr Y Tl Pt
1 1 1 1
direct
0.000 0.000 0.000 Pr
0.500 0.500 0.500 Y
0.250 0.250 0.250 Tl
0.750 0.750 0.750 Pt

***

[3]
PrTm3Pt2 (PBE-GGA, optimized geometry); calculated formation energy = -5.71 eV per formula unit
1.0
4.762 0.000 0.000
0.000 8.813 0.000
0.000 0.000 7.152
Pr Tm Pt
2 6 4
direct
0.000 0.079 0.000 Pr
0.000 0.921 0.500 Pr
0.000 0.335 0.635 Tm
0.000 0.665 0.135 Tm
0.500 0.179 0.348 Tm
0.500 0.422 0.979 Tm
0.500 0.578 0.479 Tm
0.500 0.821 0.848 Tm
0.000 0.350 0.239 Pt
0.000 0.650 0.739 Pt
0.500 0.165 0.741 Pt
0.500 0.835 0.241 Pt

***

[4]
Pr2TmPt3 (PBE-GGA, optimized geometry); calculated formation energy = -6.37 eV per formula unit
1.0
-2.095 2.940 6.200
2.095 -2.940 6.200
2.095 2.940 -6.200
Pr Tm Pt
2 1 3
direct
0.169 0.169 0.000 Pr
0.831 0.831 0.000 Pr
0.500 0.500 0.000 Tm
0.000 0.500 0.500 Pt
0.344 0.844 0.500 Pt
0.656 0.156 0.500 Pt